(P)
A plane-wave DFT calculation with PBE-GGA was carried out for a geometry-optimized LaCuPt3 structure.

Properties
The total magnetic moment comes out at 0.0 μB/f.u.

The structure in POSCAR format:
```
LaCuPt3
1.0
-2.691 4.338 4.309
2.691 -4.338 4.309
2.691 4.338 -4.309
La Cu Pt
2 2 6
direct
0.286 0.036 0.250
0.714 0.964 0.750
0.000 0.500 0.500
0.500 0.500 0.000
0.087 0.337 0.750
0.260 0.000 0.760
0.260 0.500 0.260
0.740 0.000 0.240
0.740 0.500 0.740
0.913 0.663 0.250
```

(Q)
A plane-wave DFT calculation with PBE-GGA was carried out for a geometry-optimized LaCuPt3 structure.

Properties
The total magnetic moment comes out at 0.0 μB/f.u.

The structure in POSCAR format:
```
LaCuPt3
1.0
5.244 0.000 0.000
0.000 5.244 0.000
0.000 0.000 5.244
La Cu Pt
1 1 3
direct
0.000 0.000 0.000
0.500 0.500 0.500
0.000 0.000 0.500
0.000 0.500 0.000
0.500 0.000 0.000
```

(R)
A plane-wave DFT calculation with PBE-GGA was carried out for a geometry-optimized LaCuPt3 structure.

Properties
The total magnetic moment comes out at 0.0 μB/f.u.

The structure in POSCAR format:
```
LaCuPt3
1.0
4.686 0.000 0.000
0.000 4.686 0.000
0.000 0.000 4.686
La Cu Pt
1 1 3
direct
0.000 0.000 0.000
0.500 0.500 0.500
0.000 0.500 0.500
0.500 0.000 0.500
0.500 0.500 0.000
```

Least stable: (Q)

(P)
A plane-wave DFT calculation with PBE-GGA was carried out for a geometry-optimized LaSmCuPt structure.

Properties
The total magnetic moment comes out at 0.0 μB/f.u.

The structure in POSCAR format:
```
LaSmCuPt
1.0
0.000 3.614 3.614
3.614 0.000 3.614
3.614 3.614 0.000
La Sm Cu Pt
1 1 1 1
direct
0.000 0.000 0.000
0.500 0.500 0.500
0.750 0.750 0.750
0.250 0.250 0.250
```

(Q)
A plane-wave DFT calculation with PBE-GGA was carried out for a geometry-optimized LaSmCuPt structure.

Properties
The total magnetic moment comes out at 0.0 μB/f.u.

The structure in POSCAR format:
```
LaSmCuPt
1.0
4.594 0.000 0.000
0.000 1.966 5.411
0.000 -1.966 5.411
La Sm Cu Pt
1 1 1 1
direct
0.000 0.000 0.000
0.500 0.275 0.275
0.500 0.564 0.564
0.000 0.717 0.717
```

Least stable: (P)

(P)
A plane-wave DFT calculation with PBE-GGA was carried out for a geometry-optimized LaPuCu2 structure.

Properties
The total magnetic moment comes out at 6.0 μB/f.u.

The structure in POSCAR format:
```
LaPuCu2
1.0
0.000 3.570 3.570
3.570 0.000 3.570
3.570 3.570 0.000
La Pu Cu
1 1 2
direct
0.000 0.000 0.000
0.500 0.500 0.500
0.250 0.250 0.250
0.750 0.750 0.750
```

(Q)
A plane-wave DFT calculation with PBE-GGA was carried out for a geometry-optimized LaPuCu2 structure.

Properties
The total magnetic moment comes out at 5.5 μB/f.u.

The structure in POSCAR format:
```
LaPuCu2
1.0
3.529 0.000 0.000
0.000 3.529 0.000
0.000 0.000 7.241
La Pu Cu
1 1 2
direct
0.000 0.000 0.000
0.000 0.000 0.500
0.500 0.500 0.267
0.500 0.500 0.733
```

Least stable: (P)